No. 1
This record from Alexandria via LeMat-Bulk describes a relaxed structure of CrGaO3. The functional is PBE with a Hubbard U.

Geometry as CIF:
```
data_CrGaO3
_chemical_formula_sum 'Cr2 Ga2 O6'
_space_group_name_H-M_alt 'A m m 2'
_space_group_IT_number 38
_cell_length_a 2.973
_cell_length_b 7.586
_cell_length_c 5.367
_cell_angle_alpha 90.00
_cell_angle_beta 90.00
_cell_angle_gamma 90.00
loop_
_space_group_symop_operation_xyz
'x,y,z'
'-x,-y,z'
'-x,y,z'
'x,-y,z'
'x,y+1/2,z+1/2'
'-x,-y+1/2,z+1/2'
'-x,y+1/2,z+1/2'
'x,-y+1/2,z+1/2'
loop_
_atom_site_label
_atom_site_type_symbol
_atom_site_fract_x
_atom_site_fract_y
_atom_site_fract_z
Cr1 Cr 0.000 0.000 0.000
Ga1 Ga 0.500 0.000 0.428
O1 O 0.000 0.157 0.290
O2 O 0.500 0.000 0.771
```

Output
**VASP energy**: -6.4258 eV per atom
**Total magnetization**: 3.00 μB per formula unit

No. 2
This record from Alexandria via LeMat-Bulk describes a relaxed structure of NaMo2AuO. The functional is PBE with a Hubbard U.

Geometry as CIF:
```
data_NaMo2AuO
_chemical_formula_sum 'Na1 Mo2 Au1 O1'
_space_group_name_H-M_alt 'P 4/m m m'
_space_group_IT_number 123
_space_group_name_Hall '-P 4 2'
_cell_length_a 5.666
_cell_length_b 5.666
_cell_length_c 4.071
_cell_angle_alpha 90.00
_cell_angle_beta 90.00
_cell_angle_gamma 90.00
loop_
_atom_site_label
_atom_site_type_symbol
_atom_site_fract_x
_atom_site_fract_y
_atom_site_fract_z
Na1 Na 0.000 0.000 0.000
Mo1 Mo 0.000 0.500 0.500
Au1 Au 0.500 0.500 0.500
O1 O 0.500 0.500 0.000
```

Output
**VASP energy**: -3.7072 eV per atom
**Total magnetization**: 9.87 μB per formula unit

The lowest VASP energy belongs to which entry? CrGaO3